[1]
# ReSeCl | Alexandria via LeMat-Bulk | PBE | relaxed
# **Polymorph energy (0 for the lowest one)**: 852.6 meV/atom
# **Formation energy from raw total energies**: 0.28 eV per atom
data_ReSeCl
_cell_length_a 6.007
_cell_length_b 6.007
_cell_length_c 6.007
_cell_angle_alpha 90.00
_cell_angle_beta 90.00
_cell_angle_gamma 90.00
_symmetry_space_group_name_H-M 'F -4 3 m'
_symmetry_Int_Tables_number 216
_symmetry_space_group_name_Hall 'F -4 2 3'
loop_
_atom_site_label
_atom_site_type_symbol
_atom_site_fract_x
_atom_site_fract_y
_atom_site_fract_z
Re1 Re 0.000 0.000 0.000
Se1 Se 0.250 0.250 0.250
Cl1 Cl 0.250 0.250 0.750

***

[2]
A relaxed Tm6IrAu crystal, computed with PBE.

Structure (CIF):
```
data_Tm6IrAu
_cell_length_a 6.740
_cell_length_b 11.062
_cell_length_c 6.746
_cell_angle_alpha 90.00
_cell_angle_beta 110.41
_cell_angle_gamma 90.00
_symmetry_space_group_name_H-M 'C 1 2/m 1'
_symmetry_Int_Tables_number 12
loop_
_symmetry_equiv_pos_as_xyz
'x,y,z'
'-x,-y,-z'
'-x,y,-z'
'x,-y,z'
'x+1/2,y+1/2,z'
'-x+1/2,-y+1/2,-z'
'-x+1/2,y+1/2,-z'
'x+1/2,-y+1/2,z'
loop_
_atom_site_label
_atom_site_type_symbol
_atom_site_fract_x
_atom_site_fract_y
_atom_site_fract_z
Tm1 Tm 0.237 0.180 0.240
Tm2 Tm 0.247 0.000 0.763
Ir1 Ir 0.000 0.000 0.000
Au1 Au 0.000 0.500 0.500
```

***

| no. | DFT total energy (eV per atom) | M_tot (μB/cell) |
| --- | --- | --- |
| 1 | -5.646 | 0.000 |
| 2 | -5.216 | 0.000 |